(1)
VASP calculation (PBE) on a geometry-optimized Pu2Ni4SnGe3 structure.

Cell and atoms, written as POSCAR:
```
Pu2Ni4SnGe3
1.0
4.172 0.000 0.000
0.000 4.172 0.000
0.000 0.000 9.884
Pu Ni Sn Ge
2 4 1 3
direct
0.000 0.500 0.236
0.500 0.000 0.764
0.000 0.000 0.000
0.000 0.500 0.641
0.500 0.000 0.359
0.500 0.500 0.000
0.000 0.000 0.500
0.000 0.500 0.878
0.500 0.000 0.122
0.500 0.500 0.500
```

Results
Its space-group type is P-4m2 (115). The total energy is -7.400 eV/atom. For the formation energy from the elements, the calculation gives -0.435 eV per atom.

***

(2)
VASP calculation (PBE) on a geometry-optimized PuTcNiGe structure.

Cell and atoms, written as POSCAR:
```
PuTcNiGe
1.0
0.000 3.187 3.187
3.187 0.000 3.187
3.187 3.187 0.000
Pu Tc Ni Ge
1 1 1 1
direct
0.000 0.000 0.000
0.250 0.250 0.250
0.750 0.750 0.750
0.500 0.500 0.500
```

Results
Its space-group type is F-43m (216). The total energy is -8.863 eV/atom. For the formation energy from the elements, the calculation gives -0.089 eV per atom.

***

(3)
VASP calculation (PBE) on a geometry-optimized Pu2TcNiGe6 structure.

Cell and atoms, written as POSCAR:
```
Pu2TcNiGe6
1.0
3.057 1.765 11.878
-3.057 1.765 11.878
0.000 -3.529 11.878
Pu Tc Ni Ge
4 2 2 12
direct
0.110 0.110 0.110
0.296 0.296 0.296
0.704 0.704 0.704
0.890 0.890 0.890
0.000 0.000 0.000
0.500 0.500 0.500
0.426 0.426 0.426
0.574 0.574 0.574
0.070 0.655 0.655
0.232 0.232 0.655
0.232 0.655 0.232
0.345 0.345 0.930
0.345 0.768 0.768
0.345 0.930 0.345
0.655 0.070 0.655
0.655 0.232 0.232
0.655 0.655 0.070
0.768 0.345 0.768
0.768 0.768 0.345
0.930 0.345 0.345
```

Results
Its space-group type is R-3m (166). The total energy is -7.496 eV/atom. For the formation energy from the elements, the calculation gives -0.245 eV per atom.

***

(4)
VASP calculation (PBE) on a geometry-optimized Pu2TcNi3Ge4 structure.

Cell and atoms, written as POSCAR:
```
Pu2TcNi3Ge4
1.0
4.135 0.000 0.000
0.000 4.135 0.000
0.000 0.000 9.825
Pu Tc Ni Ge
2 1 3 4
direct
0.000 0.500 0.246
0.500 0.000 0.754
0.000 0.000 0.500
0.000 0.500 0.877
0.500 0.000 0.123
0.500 0.500 0.500
0.000 0.000 0.000
0.000 0.500 0.638
0.500 0.000 0.362
0.500 0.500 0.000
```

Results
Its space-group type is P-4m2 (115). The total energy is -7.932 eV/atom. For the formation energy from the elements, the calculation gives -0.448 eV per atom.

***

(5)
VASP calculation (PBE) on a geometry-optimized PuTh2Ni4Ge3 structure.

Cell and atoms, written as POSCAR:
```
PuTh2Ni4Ge3
1.0
4.250 0.000 0.000
0.000 4.250 0.000
0.000 0.000 10.007
Pu Th Ni Ge
1 2 4 3
direct
0.000 0.000 0.000
0.000 0.500 0.727
0.500 0.000 0.273
0.000 0.000 0.500
0.000 0.500 0.149
0.500 0.000 0.851
0.500 0.500 0.500
0.000 0.500 0.382
0.500 0.000 0.618
0.500 0.500 0.000
```

Results
Its space-group type is P-4m2 (115). The total energy is -7.198 eV/atom. For the formation energy from the elements, the calculation gives -0.583 eV per atom.

***

(6)
VASP calculation (PBE) on a geometry-optimized PuU2Ni2Ge2 structure.

Cell and atoms, written as POSCAR:
```
PuU2Ni2Ge2
1.0
2.101 1.213 8.501
-2.101 1.213 8.501
0.000 -2.426 8.501
Pu U Ni Ge
1 2 2 2
direct
0.000 0.000 0.000
0.142 0.142 0.142
0.858 0.858 0.858
0.421 0.421 0.421
0.579 0.579 0.579
0.264 0.264 0.264
0.736 0.736 0.736
```

Results
Its space-group type is R-3m (166). The total energy is -8.567 eV/atom. For the formation energy from the elements, the calculation gives -0.324 eV per atom.